Material: RbY2ZnIn
Method: DFT, GGA-PBE
State: optimized geometry

Calculated values
As for the formation energy from the elements: 0.47 eV per atom. The magnetization comes out at 1.007 μB per formula unit. The value obtained for the density of states at the Fermi level is 5.953 states/eV/f.u.

Cell: 5.9500 5.9500 5.2711 Å, 90.00 90.00 90.00°
With the nearest neighbours (Å) after each atom.
Space group P4/mmm (No. 123)
Unique sites:
Rb: 0.0000 0.0000 0.0000 [1 per cell]  8 Y 3.97, 4 Zn 4.21
Y: 0.0000 0.5000 0.5000 [2 per cell]  2 In 2.98
Zn: 0.5000 0.5000 0.0000 [1 per cell]  2 In 2.64
In: 0.5000 0.5000 0.5000 [1 per cell]  2 Zn 2.64